No. 1
A relaxed Tb5CeSe6 crystal, computed with PBE-GGA.

Values from the calculation:
total energy	-5.951	eV per atom

Geometry as CIF:
```
data_Tb5CeSe6
_chemical_formula_sum 'Tb5 Ce1 Se6'
_cell_length_a 7.128
_cell_length_b 7.128
_cell_length_c 7.132
_cell_angle_alpha 99.62
_cell_angle_beta 99.62
_cell_angle_gamma 120.21
_space_group_name_H-M_alt 'P 1'
_space_group_IT_number 1
loop_
_space_group_symop_operation_xyz
'x,y,z'
loop_
_atom_site_label
_atom_site_fract_x
_atom_site_fract_y
_atom_site_fract_z
Tb1 0.834 0.166 0.500
Tb2 0.668 0.332 0.000
Tb3 0.500 0.500 0.500
Tb4 0.332 0.668 0.000
Tb5 0.166 0.834 0.500
Se1 0.422 0.085 0.253
Se2 0.915 0.578 0.747
Se3 0.254 0.254 0.748
Se4 0.746 0.746 0.252
Se5 0.085 0.422 0.253
Se6 0.578 0.915 0.747
Ce1 0.000 0.000 0.000
```

***

No. 2
A relaxed TbCeSe crystal, computed with PBE-GGA.

Values from the calculation:
distance to the lowest polymorph of the same formula	0.58	eV/f.u.

Geometry as CIF:
```
data_TbCeSe
_chemical_formula_sum 'Tb1 Ce1 Se1'
_cell_length_a 3.606
_cell_length_b 3.606
_cell_length_c 6.813
_cell_angle_alpha 105.34
_cell_angle_beta 105.34
_cell_angle_gamma 90.00
_space_group_name_H-M_alt 'P 1'
_space_group_IT_number 1
loop_
_space_group_symop_operation_xyz
'x,y,z'
loop_
_atom_site_label
_atom_site_fract_x
_atom_site_fract_y
_atom_site_fract_z
Tb1 0.695 0.695 0.390
Ce1 0.975 0.975 0.949
Se1 0.330 0.330 0.661
```